Record 1
# CsV2InCl8 | Alexandria via LeMat-Bulk | PBE | relaxed
data_CsV2InCl8
_cell_length_a 6.9387
_cell_length_b 6.9387
_cell_length_c 29.8257
_cell_angle_alpha 90.00
_cell_angle_beta 90.00
_cell_angle_gamma 120.00
_space_group_name_H-M_alt 'R -3'
_space_group_IT_number 148
_space_group_name_Hall '-R 3'
loop_
_atom_site_label
_atom_site_type_symbol
_atom_site_fract_x
_atom_site_fract_y
_atom_site_fract_z
_atom_site_occupancy
Cs1 Cs 0.0000 0.0000 0.0000 1
V1 V 0.0000 0.0000 0.2540 1
In1 In 0.0000 0.0000 0.5000 1
Cl1 Cl 0.0000 0.0000 0.3287 1
Cl2 Cl 0.0090 0.6257 0.4365 1
# Total DFT energy (no corrections)   -155.789 eV/cell

---

Record 2
# ZrSc2Pa | Alexandria via LeMat-Bulk | PBE | relaxed
data_ZrSc2Pa
_cell_length_a 3.2183
_cell_length_b 3.2183
_cell_length_c 31.9545
_cell_angle_alpha 90.00
_cell_angle_beta 90.00
_cell_angle_gamma 120.00
_space_group_name_H-M_alt 'R -3 m'
_space_group_IT_number 166
_space_group_name_Hall '-R 3 2"'
loop_
_atom_site_label
_atom_site_type_symbol
_atom_site_fract_x
_atom_site_fract_y
_atom_site_fract_z
_atom_site_occupancy
Zr1 Zr 0.0000 0.0000 0.0000 1
Sc1 Sc 0.0000 0.0000 0.2506 1
Pa1 Pa 0.0000 0.0000 0.5000 1
# Distance to the lowest polymorph of the same formula   0.11 eV per formula unit
# Energy of formation from the pure elements   0.066 eV/atom
# Total DFT energy (no corrections)   -91.330 eV/cell
# Fermi-level density of states   6.70 states/eV/f.u.

---

Record 3
# LaNpCoS4 | Alexandria via LeMat-Bulk | PBE | relaxed
data_LaNpCoS4
_cell_length_a 6.4725
_cell_length_b 5.7227
_cell_length_c 7.9282
_cell_angle_alpha 90.00
_cell_angle_beta 106.47
_cell_angle_gamma 90.00
_space_group_name_H-M_alt 'P 1 21/m 1'
_space_group_IT_number 11
loop_
_space_group_symop_operation_xyz
'x,y,z'
'-x,-y,-z'
'-x,y+1/2,-z'
'x,-y+1/2,z'
loop_
_atom_site_label
_atom_site_type_symbol
_atom_site_fract_x
_atom_site_fract_y
_atom_site_fract_z
_atom_site_occupancy
La1 La 0.2358 0.2500 0.4340 1
Np1 Np 0.2512 0.2500 0.9430 1
Co1 Co 0.2660 0.7500 0.1754 1
S1 S 0.0702 0.7500 0.3678 1
S2 S 0.0763 0.7500 0.9031 1
S3 S 0.4825 0.5099 0.7566 1
# Total DFT energy (no corrections)   -101.942 eV/cell
# Fermi-level density of states   9.81 states/eV/f.u.

---

Record 4
# CoTe2Rh | Alexandria via LeMat-Bulk | PBE | relaxed
data_CoTe2Rh
_cell_length_a 3.8983
_cell_length_b 3.8983
_cell_length_c 9.8039
_cell_angle_alpha 90.00
_cell_angle_beta 90.00
_cell_angle_gamma 90.00
_space_group_name_H-M_alt 'I -4 m 2'
_space_group_IT_number 119
_space_group_name_Hall 'I -4 -2'
loop_
_atom_site_label
_atom_site_type_symbol
_atom_site_fract_x
_atom_site_fract_y
_atom_site_fract_z
_atom_site_occupancy
Co1 Co 0.0000 0.0000 0.0000 1
Te1 Te 0.0000 0.0000 0.5000 1
Te2 Te 0.0000 0.5000 0.2500 1
Rh1 Rh 0.0000 0.5000 0.7500 1
# Total DFT energy (no corrections)   -38.568 eV/cell
# Fermi-level density of states   3.62 states/eV/f.u.

---

Record 5
# Na2BrN | Alexandria via LeMat-Bulk | PBE | relaxed
data_Na2BrN
_cell_length_a 6.8639
_cell_length_b 6.8639
_cell_length_c 6.8639
_cell_angle_alpha 90.00
_cell_angle_beta 90.00
_cell_angle_gamma 90.00
_space_group_name_H-M_alt 'F m -3 m'
_space_group_IT_number 225
_space_group_name_Hall '-F 4 2 3'
loop_
_atom_site_label
_atom_site_type_symbol
_atom_site_fract_x
_atom_site_fract_y
_atom_site_fract_z
_atom_site_occupancy
Na1 Na 0.2500 0.2500 0.2500 1
Br1 Br 0.0000 0.0000 0.0000 1
N1 N 0.0000 0.0000 0.5000 1
# Distance to the lowest polymorph of the same formula   0.42 eV per formula unit
# Total DFT energy (no corrections)   -48.687 eV/cell
# Fermi-level density of states   3.75 states/eV/f.u.

---

Record 6
# SrReAs2 | Alexandria via LeMat-Bulk | PBE | relaxed
data_SrReAs2
_cell_length_a 3.3261
_cell_length_b 4.8199
_cell_length_c 4.9692
_cell_angle_alpha 90.00
_cell_angle_beta 90.00
_cell_angle_gamma 90.00
_space_group_name_H-M_alt 'P m m m'
_space_group_IT_number 47
loop_
_space_group_symop_operation_xyz
'x,y,z'
'-x,-y,-z'
'-x,-y,z'
'x,y,-z'
'x,-y,-z'
'-x,y,z'
'-x,y,-z'
'x,-y,z'
loop_
_atom_site_label
_atom_site_type_symbol
_atom_site_fract_x
_atom_site_fract_y
_atom_site_fract_z
_atom_site_occupancy
Sr1 Sr 0.0000 0.0000 0.0000 1
Re1 Re 0.0000 0.5000 0.5000 1
As1 As 0.5000 0.0000 0.5000 1
As2 As 0.5000 0.5000 0.0000 1
# Distance to the lowest polymorph of the same formula   2.84 eV per formula unit
# Energy of formation from the pure elements   0.441 eV/atom
# Total DFT energy (no corrections)   -21.663 eV/cell
# Fermi-level density of states   3.64 states/eV/f.u.

---

Record 7
# HfTi2Se | Alexandria via LeMat-Bulk | PBE | relaxed
data_HfTi2Se
_cell_length_a 5.2271
_cell_length_b 18.9558
_cell_length_c 3.1271
_cell_angle_alpha 90.00
_cell_angle_beta 107.33
_cell_angle_gamma 90.00
_space_group_name_H-M_alt 'C 1 2/c 1'
_space_group_IT_number 15
loop_
_space_group_symop_operation_xyz
'x,y,z'
'-x,-y,-z'
'-x,y,-z+1/2'
'x,-y,z+1/2'
'x+1/2,y+1/2,z'
'-x+1/2,-y+1/2,-z'
'-x+1/2,y+1/2,-z+1/2'
'x+1/2,-y+1/2,z+1/2'
loop_
_atom_site_label
_atom_site_type_symbol
_atom_site_fract_x
_atom_site_fract_y
_atom_site_fract_z
_atom_site_occupancy
Hf1 Hf 0.0000 0.1996 0.2500 1
Ti1 Ti 0.2249 0.0615 0.0919 1
Se1 Se 0.0000 0.3451 0.2500 1
# Total DFT energy (no corrections)   -121.843 eV/cell
# Fermi-level density of states   3.17 states/eV/f.u.

---

Record 8
# PrDyHoCd | Alexandria via LeMat-Bulk | PBE | relaxed
data_PrDyHoCd
_cell_length_a 7.7942
_cell_length_b 7.7942
_cell_length_c 7.7942
_cell_angle_alpha 90.00
_cell_angle_beta 90.00
_cell_angle_gamma 90.00
_space_group_name_H-M_alt 'F -4 3 m'
_space_group_IT_number 216
_space_group_name_Hall 'F -4 2 3'
loop_
_atom_site_label
_atom_site_type_symbol
_atom_site_fract_x
_atom_site_fract_y
_atom_site_fract_z
_atom_site_occupancy
Pr1 Pr 0.0000 0.0000 0.0000 1
Dy1 Dy 0.0000 0.0000 0.5000 1
Ho1 Ho 0.2500 0.2500 0.7500 1
Cd1 Cd 0.2500 0.2500 0.2500 1
# Distance to the lowest polymorph of the same formula   0.49 eV per formula unit
# Energy of formation from the pure elements   -0.028 eV/atom
# Total DFT energy (no corrections)   -59.950 eV/cell
# Fermi-level density of states   5.44 states/eV/f.u.

---

Question: What is the formula in the eighth record?
Answer: PrDyHoCd

---

Question: Which value of total DFT energy (no corrections) does entry 2 give?
Answer: -91.330 eV/cell